No. 1
Here is a relaxed Pr2Sm4Tm crystal from Alexandria. Energies are from PBE.

a b c (Å): 6.362 6.362 15.559
angles (deg): 90.00 90.00 129.82
Fractional positions:
Pr (0.103, 0.897, 0.844)
Pr (0.397, 0.603, 0.344)
Pr (0.603, 0.397, 0.656)
Pr (0.897, 0.103, 0.156)
Sm (0.105, 0.895, 0.306)
Sm (0.205, 0.795, 0.070)
Sm (0.295, 0.705, 0.570)
Sm (0.395, 0.605, 0.806)
Sm (0.605, 0.395, 0.194)
Sm (0.705, 0.295, 0.430)
Sm (0.795, 0.205, 0.930)
Sm (0.895, 0.105, 0.694)
Tm (0.000, 0.000, 0.500)
Tm (0.500, 0.500, 0.000)

- Energy of formation: 0.147 eV per atom

***

No. 2
Here is a relaxed Pr8Sm6Tm crystal from Alexandria. Energies are from PBE.

a b c (Å): 8.866 8.866 8.866
angles (deg): 63.27 63.27 63.27
Fractional positions:
Pr (0.078, 0.078, 0.078)
Pr (0.217, 0.613, 0.252)
Pr (0.252, 0.217, 0.613)
Pr (0.387, 0.748, 0.783)
Pr (0.613, 0.252, 0.217)
Pr (0.748, 0.783, 0.387)
Pr (0.783, 0.387, 0.748)
Pr (0.922, 0.922, 0.922)
Sm (0.040, 0.597, 0.743)
Sm (0.257, 0.960, 0.403)
Sm (0.403, 0.257, 0.960)
Sm (0.597, 0.743, 0.040)
Sm (0.743, 0.040, 0.597)
Sm (0.960, 0.403, 0.257)
Tm (0.500, 0.500, 0.500)

- Energy of formation: 0.112 eV per atom

***

No. 3
Here is a relaxed Pr6Sm7Tm16 crystal from Alexandria. Energies are from PBE.

a b c (Å): 11.192 11.192 11.192
angles (deg): 60.00 60.00 60.00
Fractional positions:
Pr (0.234, 0.234, 0.766)
Pr (0.234, 0.766, 0.234)
Pr (0.234, 0.766, 0.766)
Pr (0.766, 0.234, 0.234)
Pr (0.766, 0.234, 0.766)
Pr (0.766, 0.766, 0.234)
Sm (0.000, 0.000, 0.500)
Sm (0.000, 0.500, 0.000)
Sm (0.000, 0.500, 0.500)
Sm (0.500, 0.000, 0.000)
Sm (0.500, 0.000, 0.500)
Sm (0.500, 0.500, 0.000)
Sm (0.500, 0.500, 0.500)
Tm (0.112, 0.629, 0.629)
Tm (0.151, 0.151, 0.151)
Tm (0.151, 0.151, 0.547)
Tm (0.151, 0.547, 0.151)
Tm (0.371, 0.371, 0.371)
Tm (0.371, 0.371, 0.888)
Tm (0.371, 0.888, 0.371)
Tm (0.453, 0.849, 0.849)
Tm (0.547, 0.151, 0.151)
Tm (0.629, 0.112, 0.629)
Tm (0.629, 0.629, 0.112)
Tm (0.629, 0.629, 0.629)
Tm (0.849, 0.453, 0.849)
Tm (0.849, 0.849, 0.453)
Tm (0.849, 0.849, 0.849)
Tm (0.888, 0.371, 0.371)

- Energy of formation: 0.232 eV per atom

***

No. 4
Here is a relaxed Pr2Sm2Tm5 crystal from Alexandria. Energies are from PBE.

a b c (Å): 10.916 10.916 8.257
angles (deg): 99.71 99.71 18.40
Fractional positions:
Pr (0.184, 0.184, 0.142)
Pr (0.816, 0.816, 0.858)
Sm (0.454, 0.454, 0.646)
Sm (0.546, 0.546, 0.354)
Tm (0.000, 0.000, 0.000)
Tm (0.098, 0.098, 0.735)
Tm (0.310, 0.310, 0.473)
Tm (0.690, 0.690, 0.527)
Tm (0.902, 0.902, 0.265)

- Energy of formation: 0.232 eV per atom

***

No. 5
Here is a relaxed Pr12SmTm5 crystal from Alexandria. Energies are from PBE.

a b c (Å): 10.927 5.177 10.944
angles (deg): 90.00 90.46 90.00
Fractional positions:
Pr (0.002, 0.000, 0.168)
Pr (0.166, 0.500, 0.666)
Pr (0.170, 0.500, 0.003)
Pr (0.332, 0.000, 0.498)
Pr (0.337, 0.000, 0.837)
Pr (0.497, 0.500, 0.330)
Pr (0.503, 0.500, 0.670)
Pr (0.663, 0.000, 0.163)
Pr (0.668, 0.000, 0.502)
Pr (0.830, 0.500, 0.997)
Pr (0.834, 0.500, 0.334)
Pr (0.998, 0.000, 0.832)
Sm (0.000, 0.000, 0.500)
Tm (0.167, 0.500, 0.333)
Tm (0.333, 0.000, 0.167)
Tm (0.500, 0.500, 0.000)
Tm (0.667, 0.000, 0.833)
Tm (0.833, 0.500, 0.667)

- Energy of formation: 0.026 eV per atom

***

No. 6
Here is a relaxed Pr2Sm6Tm3 crystal from Alexandria. Energies are from PBE.

a b c (Å): 6.188 6.188 11.785
angles (deg): 95.07 95.07 120.06
Fractional positions:
Pr (0.167, 0.833, 0.000)
Pr (0.833, 0.167, 0.000)
Sm (0.082, 0.415, 0.745)
Sm (0.252, 0.252, 0.255)
Sm (0.415, 0.082, 0.745)
Sm (0.585, 0.918, 0.255)
Sm (0.748, 0.748, 0.745)
Sm (0.918, 0.585, 0.255)
Tm (0.000, 0.000, 0.500)
Tm (0.334, 0.666, 0.500)
Tm (0.666, 0.334, 0.500)

- Energy of formation: 0.170 eV per atom

***

No. 7
Here is a relaxed PrSm4Tm crystal from Alexandria. Energies are from PBE.

a b c (Å): 6.664 6.664 6.664
angles (deg): 60.00 60.00 60.00
Fractional positions:
Pr (0.000, 0.000, 0.000)
Sm (0.376, 0.376, 0.376)
Sm (0.376, 0.376, 0.873)
Sm (0.376, 0.873, 0.376)
Sm (0.873, 0.376, 0.376)
Tm (0.750, 0.750, 0.750)

- Energy of formation: 0.259 eV per atom

***

No. 8
Here is a relaxed Pr2SmTm5 crystal from Alexandria. Energies are from PBE.

a b c (Å): 9.480 9.480 6.507
angles (deg): 96.85 96.85 62.73
Fractional positions:
Pr (0.169, 0.677, 0.887)
Pr (0.323, 0.831, 0.613)
Pr (0.677, 0.169, 0.387)
Pr (0.831, 0.323, 0.113)
Sm (0.000, 0.500, 0.000)
Sm (0.500, 0.000, 0.500)
Tm (0.012, 0.189, 0.646)
Tm (0.189, 0.012, 0.146)
Tm (0.215, 0.393, 0.476)
Tm (0.393, 0.215, 0.976)
Tm (0.441, 0.559, 0.250)
Tm (0.559, 0.441, 0.750)
Tm (0.607, 0.785, 0.024)
Tm (0.785, 0.607, 0.524)
Tm (0.811, 0.988, 0.854)
Tm (0.988, 0.811, 0.354)

- Energy of formation: 0.183 eV per atom

***

No. 9
Here is a relaxed Pr5Sm4Tm2 crystal from Alexandria. Energies are from PBE.

a b c (Å): 12.301 12.301 8.933
angles (deg): 96.96 96.96 16.43
Fractional positions:
Pr (0.000, 0.000, 0.000)
Pr (0.270, 0.270, 0.181)
Pr (0.361, 0.361, 0.886)
Pr (0.639, 0.639, 0.114)
Pr (0.730, 0.730, 0.819)
Sm (0.175, 0.175, 0.472)
Sm (0.455, 0.455, 0.638)
Sm (0.545, 0.545, 0.362)
Sm (0.825, 0.825, 0.528)
Tm (0.409, 0.409, 0.269)
Tm (0.591, 0.591, 0.731)

- Energy of formation: 0.141 eV per atom

***

No. 10
Here is a relaxed PrSm2Tm9 crystal from Alexandria. Energies are from PBE.

a b c (Å): 11.153 11.153 3.504
angles (deg): 90.00 90.00 120.00
Fractional positions:
Pr (0.000, 0.000, 0.000)
Sm (0.333, 0.667, 0.000)
Sm (0.667, 0.333, 0.000)
Tm (0.000, 0.500, 0.000)
Tm (0.177, 0.355, 0.500)
Tm (0.177, 0.823, 0.500)
Tm (0.355, 0.177, 0.500)
Tm (0.500, 0.000, 0.000)
Tm (0.500, 0.500, 0.000)
Tm (0.645, 0.823, 0.500)
Tm (0.823, 0.177, 0.500)
Tm (0.823, 0.645, 0.500)

- Energy of formation: 0.055 eV per atom

***

No. 11
Here is a relaxed Pr2SmTm4 crystal from Alexandria. Energies are from PBE.

a b c (Å): 6.764 8.486 9.253
angles (deg): 65.59 72.01 77.30
Fractional positions:
Pr (0.000, 0.000, 0.000)
Pr (0.095, 0.389, 0.019)
Pr (0.288, 0.144, 0.568)
Pr (0.810, 0.241, 0.447)
Sm (0.662, 0.669, 0.164)
Sm (0.855, 0.435, 0.709)
Tm (0.146, 0.579, 0.283)
Tm (0.240, 0.952, 0.308)
Tm (0.381, 0.531, 0.593)
Tm (0.433, 0.717, 0.853)
Tm (0.525, 0.097, 0.879)
Tm (0.567, 0.286, 0.139)
Tm (0.713, 0.857, 0.426)
Tm (0.951, 0.810, 0.733)

- Energy of formation: 0.018 eV per atom

***

No. 12
Here is a relaxed Pr5Sm3Tm3 crystal from Alexandria. Energies are from PBE.

a b c (Å): 11.382 11.382 3.473
angles (deg): 90.00 90.00 120.00
Fractional positions:
Pr (0.000, 0.663, 0.000)
Pr (0.333, 0.667, 0.000)
Pr (0.337, 0.337, 0.000)
Pr (0.663, 0.000, 0.000)
Pr (0.667, 0.333, 0.000)
Sm (0.000, 0.402, 0.500)
Sm (0.402, 0.000, 0.500)
Sm (0.598, 0.598, 0.500)
Tm (0.000, 0.159, 0.000)
Tm (0.159, 0.000, 0.000)
Tm (0.841, 0.841, 0.000)

- Energy of formation: 0.307 eV per atom